LiHoErCr PBE relaxed; space-group type = F-43m (216); density of states at the Fermi level = 0.699 states/eV/atom; E_form = 0.164 eV/atom; volume = 22.60 Å³/atom; total energy = -5.005 eV/atom; total moment = 3.18 μB per cell
1.0
0.0000 3.5624 3.5624
3.5624 0.0000 3.5624
3.5624 3.5624 0.0000
Li Ho Er Cr
1 1 1 1
direct
0.0000 0.0000 0.0000
0.2500 0.2500 0.2500
0.7500 0.7500 0.7500
0.5000 0.5000 0.5000

BeAl2Se PBE relaxed; space-group type = P4/mmm (123); density of states at the Fermi level = 0.506 states/eV/atom; relative energy among the computed polymorphs = 1.18 eV per formula unit; volume = 16.38 Å³/atom; total energy = -3.333 eV/atom; total moment = 0.00 μB per cell
1.0
4.4538 0.0000 0.0000
0.0000 4.4538 0.0000
0.0000 0.0000 3.3026
Be Al Se
1 2 1
direct
0.0000 0.0000 0.0000
0.0000 0.5000 0.5000
0.5000 0.0000 0.5000
0.5000 0.5000 0.0000